Material: HgC2
Method: DFT, PBE-GGA
State: relaxed

Calculated values
DFT formation energy ... 4.66 eV/f.u.
Volume ... 13.94 Å³/atom

Cell: 5.5101 5.5101 5.5101 Å, 90.00 90.00 90.00°
Fractional positions:
Hg 0.0000 0.0000 0.0000
Hg 0.0000 0.5000 0.5000
Hg 0.5000 0.0000 0.5000
Hg 0.5000 0.5000 0.0000
C 0.0673 0.5673 0.9327
C 0.0673 0.9327 0.4327
C 0.4327 0.0673 0.9327
C 0.4327 0.4327 0.4327
C 0.5673 0.5673 0.5673
C 0.5673 0.9327 0.0673
C 0.9327 0.0673 0.5673
C 0.9327 0.4327 0.0673